Record 1
{"formula": "PmTlAu", "functional": "PBE", "state": "optimized geometry", "vol_a3_per_atom": 25.3, "energy_ev_per_atom": -4.08, "e_form_mev_per_atom": -616.1, "lattice_angstrom": [[5.204, -0.001, 0.000], [-2.602, 4.507, 0.000], [0.000, 0.000, 6.478]], "species": ["Au", "Au", "Tl", "Tl", "Pm", "Pm"], "fractional_positions": [[0.333, 0.167, 0.750], [0.667, 0.833, 0.250], [0.000, 0.500, 0.000], [0.000, 0.500, 0.500], [0.667, 0.833, 0.750], [0.333, 0.167, 0.250]]}

Record 2
{"formula": "KGaPb", "functional": "PBE", "state": "optimized geometry", "vol_a3_per_atom": 30.0, "energy_ev_per_atom": -2.68, "e_form_mev_per_atom": -73.2, "lattice_angstrom": [[1.270, 4.464, 2.155], [-4.348, -0.409, -2.667], [-3.859, -2.094, 6.612]], "species": ["Pb", "Pb", "K", "K", "Ga", "Ga"], "fractional_positions": [[0.000, 0.000, 0.720], [0.000, 0.000, 0.280], [0.667, 0.333, 0.000], [0.667, 0.333, 0.500], [0.333, 0.667, 0.823], [0.333, 0.667, 0.177]]}

Record 3
{"formula": "Ca2ZnNiN", "functional": "PBE", "state": "optimized geometry", "vol_a3_per_atom": 18.4, "energy_ev_per_atom": -4.32, "e_form_raw_ev_per_atom": -0.442, "lattice_angstrom": [[5.030, 0.000, 0.000], [0.000, 5.030, 0.000], [0.000, 0.000, 3.627]], "species": ["Ni", "Ca", "Ca", "N", "Zn"], "fractional_positions": [[0.000, 0.000, 0.500], [0.000, 0.500, 0.000], [0.500, 0.000, 0.000], [0.000, 0.000, 0.000], [0.500, 0.500, 0.500]]}

Record 4
{"formula": "YAlInAg", "functional": "PBE", "state": "optimized geometry", "vol_a3_per_atom": 21.9, "energy_ev_per_atom": -4.18, "e_form_mev_per_atom": -229.0, "lattice_angstrom": [[-1.810, 3.251, -3.314], [-3.593, -1.399, -3.156], [-4.619, 1.790, 0.532]], "species": ["In", "Ag", "Al", "Y"], "fractional_positions": [[0.500, 0.500, 0.500], [0.750, 0.750, 0.750], [0.250, 0.250, 0.250], [0.000, 0.000, 0.000]]}

Record 5
{"formula": "Dy2BPPt6", "functional": "PBE", "state": "optimized geometry", "vol_a3_per_atom": 17.5, "energy_ev_per_atom": -6.66, "e_form_mev_per_atom": -909.6, "lattice_angstrom": [[5.696, 0.000, 0.000], [0.000, 7.299, 0.000], [0.000, 0.000, 8.415]], "species": ["Pt", "Pt", "Pt", "Pt", "Pt", "Pt", "Pt", "Pt", "Pt", "Pt", "Pt", "Pt", "P", "P", "Dy", "Dy", "Dy", "Dy", "B", "B"], "fractional_positions": [[0.500, 0.162, 0.253], [0.000, 0.838, 0.247], [0.000, 0.838, 0.753], [0.745, 0.437, 0.000], [0.245, 0.563, 0.500], [0.500, 0.162, 0.747], [0.245, 0.004, 0.000], [0.255, 0.996, 0.500], [0.255, 0.437, 0.000], [0.755, 0.563, 0.500], [0.755, 0.004, 0.000], [0.745, 0.996, 0.500], [0.000, 0.688, 0.000], [0.500, 0.312, 0.500], [0.000, 0.273, 0.720], [0.000, 0.273, 0.280], [0.500, 0.727, 0.220], [0.500, 0.727, 0.780], [0.000, 0.788, 0.500], [0.500, 0.212, 0.000]]}

Record 6
{"formula": "ErNp2N3", "functional": "PBE", "state": "optimized geometry", "vol_a3_per_atom": 14.4, "energy_ev_per_atom": -10.56, "e_form_raw_ev_per_atom": -1.319, "lattice_angstrom": [[-1.838, -2.598, 6.979], [-5.935, -1.302, 4.681], [3.675, -0.306, -6.725]], "species": ["N", "N", "N", "Np", "Np", "Er"], "fractional_positions": [[0.834, 0.834, 0.000], [0.500, 0.500, 0.000], [0.166, 0.166, 0.000], [0.334, 0.334, 0.000], [0.666, 0.666, 0.000], [0.000, 0.000, 0.000]]}

Record 7
{"formula": "Li2ZnRh2", "functional": "PBE", "state": "optimized geometry", "vol_a3_per_atom": 13.5, "energy_ev_per_atom": -4.17, "e_form_mev_per_atom": -212.0, "lattice_angstrom": [[5.018, 0.430, 0.363], [2.651, 4.282, 0.363], [1.660, 1.020, 6.789]], "species": ["Li", "Li", "Li", "Li", "Rh", "Rh", "Rh", "Rh", "Zn", "Zn"], "fractional_positions": [[0.123, 0.476, 0.645], [0.524, 0.877, 0.855], [0.877, 0.524, 0.355], [0.476, 0.123, 0.145], [0.712, 0.091, 0.442], [0.909, 0.288, 0.058], [0.091, 0.712, 0.942], [0.288, 0.909, 0.558], [0.692, 0.308, 0.750], [0.308, 0.692, 0.250]]}

Record 8
{"formula": "Tl2BrF", "functional": "PBE", "state": "optimized geometry", "vol_a3_per_atom": 29.6, "energy_ev_per_atom": -3.33, "e_form_raw_ev_per_atom": -1.264, "lattice_angstrom": [[4.356, 0.000, 0.000], [2.178, 3.772, 0.000], [2.178, 1.257, 7.202]], "species": ["Tl", "Tl", "F", "Br"], "fractional_positions": [[0.233, 0.233, 0.301], [0.767, 0.767, 0.699], [0.500, 0.500, 0.500], [0.000, 0.000, 0.000]]}